1.
The following is a DFT calculation (PBE) of La2Dy5Ho2 after structural relaxation.

The structure in extended XYZ format:
```
9
Lattice="3.424 0.000 -0.706 -0.482 7.924 -2.338 0.733 -2.954 12.209" Properties=species:S:1:pos:R:3 pbc="T T T"
Ho 1.585 5.556 -0.967
Ho 2.090 -0.586 10.132
Dy 3.434 1.904 7.993
Dy 1.438 -0.608 6.972
Dy 2.237 5.577 2.193
Dy 0.242 3.065 1.172
Dy 0.000 0.000 0.000
La 2.900 4.323 5.408
La 0.775 0.647 3.757
```

=====

2.
The following is a DFT calculation (PBE) of LaDy5Ho after structural relaxation.

The structure in extended XYZ format:
```
14
Lattice="6.207 0.134 2.743 2.342 5.750 2.743 1.032 0.710 13.600" Properties=species:S:1:pos:R:3 pbc="T T T"
Ho 0.000 0.000 0.000
Ho 0.516 0.355 6.800
La 5.905 2.230 12.942
La 3.676 4.364 6.143
Dy 3.757 2.798 15.412
Dy 6.883 3.757 7.322
Dy 6.484 5.442 14.122
Dy 3.722 5.401 12.942
Dy 2.698 2.836 11.763
Dy 5.858 1.193 6.143
Dy 5.823 3.795 3.673
Dy 6.141 4.438 10.473
Dy 3.097 1.152 4.963
Dy 3.440 2.155 8.612
```

=====

no.,total energy (eV/cell),N(E_F) (states/eV/atom)
1,-40.1,1.49
2,-62.3,1.21